K2BaBi: relaxed, GGA-PBE.

Lattice parameters (Å, degrees): 4.038 4.038 15.109 82.32 82.32 60.00
Element x y z (fractional)
K: 0.077 0.077 0.770
K: 0.923 0.923 0.230
Bi: 0.000 0.000 0.000
Ba: 0.500 0.500 0.500

Calculated values
Its volume is 52.7 Å³/atom. As for the space-group type: R-3m. The value obtained for the size of the total moment is 0.63 μB per formula unit. For the formation energy, the calculation gives 19 kJ/mol of atoms. The value obtained for the energy is -7.22 eV for the cell shown.